BeTl3Br (GGA-PBE, optimized geometry); energy relative to the elements, uncorrected = 0.6422 eV per atom; electronic total energy = -1.86 eV per atom; volume = 225.7 Å³/cell; total moment = 0.0 Bohr magnetons per cell
1.0
6.088 0.000 0.000
0.000 6.088 0.000
0.000 0.000 6.088
Be Tl Br
1 3 1
Cartesian
0.000 0.000 0.000 Be
0.000 3.044 3.044 Tl
3.044 0.000 3.044 Tl
3.044 3.044 0.000 Tl
3.044 3.044 3.044 Br